# 1
Cs2MgSnI6, optimized geometry, DFT PBE; V = 45.4 Å³ per atom; raw formation energy = -1.07 eV/atom
1.0
-6.5701 -4.9705 2.5693
4.1005 -1.5810 7.4270
-3.9264 1.5851 7.5190
Cs I Mg Sn
2 6 1 1
Cartesian
-5.8657 -3.3306 7.5432 Cs
-0.5304 -1.6359 9.9720 Cs
-3.8126 -4.0946 3.8246 I
1.3430 -2.4569 6.1717 I
-1.8314 -4.8585 7.4131 I
-2.5346 -0.9285 6.2155 I
-0.6382 -1.6930 2.5832 I
-3.8614 -4.0380 11.2998 I
-1.2348 -3.2758 4.9982 Mg
0.0000 0.0000 0.0000 Sn



# 2
Cs3SrMg2I9, optimized geometry, DFT PBE; V = 45.2 Å³ per atom; raw formation energy = -1.35 eV/atom
1.0
-4.5474 7.0620 -1.8149
-1.6407 -4.4419 7.1709
7.0656 5.9052 5.2745
Cs Mg I Sr
3 2 9 1
Cartesian
0.0000 0.0000 0.0000 Cs
-1.3072 5.1257 2.8759 Cs
2.1847 3.3997 7.7546 Cs
-1.4911 0.3275 5.0106 Mg
2.3687 8.1978 5.6199 Mg
0.1073 -0.5544 7.2887 I
-0.8203 -2.2210 3.5855 I
2.9417 5.7075 4.2085 I
-0.0131 6.9586 6.7661 I
0.7703 9.0797 3.3419 I
-2.0642 2.8178 6.4221 I
0.8907 1.5667 3.8645 I
-3.0940 1.3100 2.6780 I
-2.2737 3.5310 -0.9074 I
3.5328 2.9526 2.6372 Sr



# 3
CsSrMgI5, optimized geometry, DFT PBE; V = 52.5 Å³ per atom; raw formation energy = -1.41 eV/atom
1.0
-0.6296 -6.4251 6.2841
8.6636 0.1948 -2.4641
-1.5892 10.0788 5.9387
I Sr Cs Mg
10 2 2 2
Cartesian
-0.2074 -0.5015 6.2504 I
1.7668 -1.7735 2.2569 I
-1.0159 1.7079 9.9797 I
4.6781 5.6221 7.5017 I
7.4607 2.1407 -0.2211 I
4.3861 8.3761 4.1476 I
2.3268 4.2308 3.9511 I
6.6522 4.3500 3.5082 I
4.1181 -0.3823 5.8075 I
2.0587 -4.5276 5.6110 I
-0.7946 5.0394 2.9693 Sr
0.0000 0.0000 0.0000 Sr
5.0168 0.3998 2.0795 Cs
1.4280 3.4488 7.6792 Cs
1.8806 -1.8343 5.0318 Mg
4.5643 5.6829 4.7268 Mg



# 4
Cs2TbMgI6, optimized geometry, DFT PBE; V = 47.7 Å³ per atom; raw formation energy = -1.24 eV/atom
1.0
-8.4529 1.8449 1.4264
1.0792 -1.6603 8.5430
2.9251 11.8999 1.9432
Cs I Mg Tb
4 12 2 2
Cartesian
-2.6858 2.6496 7.6092 Cs
2.4627 8.5086 3.5897 Cs
1.0011 2.5624 2.6187 Cs
-1.2223 8.6034 8.5814 Cs
-4.3699 6.5093 6.3255 I
1.5496 1.7691 6.8949 I
-5.7676 0.5476 5.3287 I
-1.6078 -0.3603 4.6268 I
-0.0769 5.5724 5.6011 I
-2.1253 0.4562 0.4052 I
0.4406 4.7558 9.8226 I
-6.3160 1.3709 1.1124 I
2.9932 7.6420 7.8540 I
-3.2343 3.4430 3.3329 I
-3.8215 5.6860 10.5418 I
-1.7528 9.4699 4.3171 I
0.8102 -1.2464 6.4133 Mg
-2.4948 6.4585 3.8145 Mg
-3.9553 0.5053 2.8595 Tb
2.2706 4.7067 7.3683 Tb